# 1
VASP calculation (PBE) on crystalline CaTe2RuN at its relaxed geometry.

```
data_CaTe2RuN
_chemical_formula_sum 'Ca1 Te2 Ru1 N1'
_cell_length_a 5.794
_cell_length_b 5.794
_cell_length_c 4.033
_cell_angle_alpha 90.00
_cell_angle_beta 90.00
_cell_angle_gamma 90.00
_space_group_name_H-M_alt 'P 4/m m m'
_space_group_IT_number 123
_space_group_name_Hall '-P 4 2'
loop_
_atom_site_label
_atom_site_type_symbol
_atom_site_fract_x
_atom_site_fract_y
_atom_site_fract_z
_atom_site_occupancy
Ca1 Ca 0.000 0.000 0.000 1
Te1 Te 0.000 0.500 0.000 1
Ru1 Ru 0.500 0.500 0.500 1
N1 N 0.000 0.000 0.500 1
```

As for the raw formation energy: 32.6 kcal/mol of atoms. As for the density of states at the Fermi level: 1.74 states/eV/atom. As for the electronic total energy: -18.82 eV for the cell shown.

=====

# 2
VASP calculation (PBE) on crystalline CaTh2RuN4 at its relaxed geometry.

```
data_CaTh2RuN4
_chemical_formula_sum 'Ca4 Th8 Ru4 N16'
_cell_length_a 3.659
_cell_length_b 12.003
_cell_length_c 12.465
_cell_angle_alpha 90.00
_cell_angle_beta 90.00
_cell_angle_gamma 90.00
_space_group_name_H-M_alt 'C m c m'
_space_group_IT_number 63
_space_group_name_Hall '-C 2c 2'
loop_
_atom_site_label
_atom_site_type_symbol
_atom_site_fract_x
_atom_site_fract_y
_atom_site_fract_z
_atom_site_occupancy
Ca1 Ca 0.000 0.064 0.250 1
Th1 Th 0.000 0.367 0.054 1
Ru1 Ru 0.000 0.183 0.750 1
N1 N 0.000 0.000 0.000 1
N2 N 0.000 0.256 0.606 1
N3 N 0.000 0.415 0.250 1
```

As for the raw formation energy: -21.0 kcal/mol of atoms. As for the density of states at the Fermi level: 0.39 states/eV/atom. As for the electronic total energy: -266.79 eV for the cell shown.

=====

# 3
VASP calculation (PBE) on crystalline Ca2TlRuN at its relaxed geometry.

```
data_Ca2TlRuN
_chemical_formula_sum 'Ca2 Tl1 Ru1 N1'
_cell_length_a 5.110
_cell_length_b 5.110
_cell_length_c 3.866
_cell_angle_alpha 90.00
_cell_angle_beta 90.00
_cell_angle_gamma 90.00
_space_group_name_H-M_alt 'P 4/m m m'
_space_group_IT_number 123
_space_group_name_Hall '-P 4 2'
loop_
_atom_site_label
_atom_site_type_symbol
_atom_site_fract_x
_atom_site_fract_y
_atom_site_fract_z
_atom_site_occupancy
Ca1 Ca 0.000 0.500 0.000 1
Tl1 Tl 0.000 0.000 0.500 1
Ru1 Ru 0.500 0.500 0.500 1
N1 N 0.500 0.500 0.000 1
```

As for the raw formation energy: -10.9 kcal/mol of atoms. As for the density of states at the Fermi level: 0.39 states/eV/atom. As for the electronic total energy: -26.33 eV for the cell shown.